Record 1
Computed, not measured: an optimized crystal structure of ThCdSn at the PBE level of DFT.

## Properties
N(E_F)	0.53	states/eV per cell
energy relative to the elements	-0.32	eV per atom
spin magnetization	0.0	Bohr magnetons per cell

Cell: 4.209 4.749 4.749 Å, 120.00 90.00 90.00°
Element x y z (fractional)
Sn (0.232, 0.333, 0.667)
Th (0.680, 0.667, 0.333)
Cd (0.088, 0.000, 0.000)



Record 2
Computed, not measured: an optimized crystal structure of ThCdSn at the PBE level of DFT.

## Properties
N(E_F)	2.09	states/eV per cell
energy relative to the elements	-0.13	eV per atom
spin magnetization	0.0	Bohr magnetons per cell

Cell: 4.728 4.728 9.651 Å, 75.82 75.82 60.00°
Element x y z (fractional)
Th (0.570, 0.570, 0.290)
Th (0.430, 0.430, 0.710)
Sn (0.309, 0.309, 0.073)
Sn (0.691, 0.691, 0.927)
Cd (0.844, 0.844, 0.467)
Cd (0.156, 0.156, 0.533)



Record 3
Computed, not measured: an optimized crystal structure of ThCdSn2 at the PBE level of DFT.

## Properties
N(E_F)	2.60	states/eV per cell
energy relative to the elements	-0.22	eV per atom
spin magnetization	0.0	Bohr magnetons per cell

Cell: 3.921 3.921 6.977 Å, 90.00 90.00 90.00°
Element x y z (fractional)
Sn (0.000, 0.000, 0.781)
Sn (0.000, 0.000, 0.219)
Th (0.500, 0.500, 0.500)
Cd (0.500, 0.500, 0.000)



Record 4
Computed, not measured: an optimized crystal structure of ThCdSn2 at the PBE level of DFT.

## Properties
N(E_F)	4.14	states/eV per cell
energy relative to the elements	-0.15	eV per atom
spin magnetization	0.0	Bohr magnetons per cell

Cell: 5.006 5.006 5.809 Å, 64.47 64.47 60.00°
Element x y z (fractional)
Sn (0.769, 0.769, 0.692)
Sn (0.231, 0.231, 0.308)
Th (0.000, 0.000, 0.000)
Cd (0.500, 0.500, 0.500)



Record 5
Computed, not measured: an optimized crystal structure of ThCdSn2 at the PBE level of DFT.

## Properties
N(E_F)	2.75	states/eV per cell
energy relative to the elements	-0.41	eV per atom
spin magnetization	0.0	Bohr magnetons per cell

Cell: 4.504 4.851 4.851 Å, 90.00 90.00 90.00°
Element x y z (fractional)
Sn (0.000, 0.000, 0.500)
Sn (0.000, 0.500, 0.000)
Th (0.500, 0.500, 0.500)
Cd (0.500, 0.000, 0.000)



Record 6
Computed, not measured: an optimized crystal structure of ThCd11Sn at the PBE level of DFT.

## Properties
N(E_F)	5.15	states/eV per cell
energy relative to the elements	-0.01	eV per atom
spin magnetization	0.0	Bohr magnetons per cell

Cell: 6.281 7.653 7.765 Å, 79.90 66.14 64.31°
Element x y z (fractional)
Th (0.000, 0.000, 0.000)
Cd (0.275, 0.210, 0.214)
Cd (0.725, 0.790, 0.786)
Cd (0.511, 0.790, 0.214)
Cd (0.489, 0.210, 0.786)
Cd (0.347, 0.650, 0.646)
Cd (0.653, 0.350, 0.354)
Cd (0.006, 0.350, 0.646)
Cd (0.994, 0.650, 0.354)
Cd (0.000, 0.500, 0.000)
Cd (0.500, 0.000, 0.500)
Cd (0.000, 0.000, 0.500)
Sn (0.500, 0.500, 0.000)



Record 7
Computed, not measured: an optimized crystal structure of Th2CdSn2 at the PBE level of DFT.

## Properties
N(E_F)	4.98	states/eV per cell
energy relative to the elements	-0.42	eV per atom
spin magnetization	0.0	Bohr magnetons per cell

Cell: 4.560 6.435 10.597 Å, 91.19 77.57 69.25°
Element x y z (fractional)
Th (0.665, 0.346, 0.324)
Th (0.920, 0.268, 0.893)
Th (0.335, 0.654, 0.676)
Th (0.080, 0.732, 0.107)
Cd (0.625, 0.079, 0.672)
Cd (0.375, 0.921, 0.328)
Sn (0.080, 0.277, 0.562)
Sn (0.650, 0.807, 0.893)
Sn (0.920, 0.723, 0.438)
Sn (0.350, 0.193, 0.107)



Record 8
Computed, not measured: an optimized crystal structure of Th4CdSn2 at the PBE level of DFT.

## Properties
N(E_F)	8.18	states/eV per cell
energy relative to the elements	-0.03	eV per atom
spin magnetization	0.0	Bohr magnetons per cell

Cell: 4.984 4.984 11.228 Å, 77.18 77.18 60.00°
Element x y z (fractional)
Th (0.700, 0.700, 0.899)
Th (0.881, 0.881, 0.358)
Th (0.300, 0.300, 0.101)
Th (0.119, 0.119, 0.642)
Cd (0.500, 0.500, 0.500)
Sn (0.595, 0.595, 0.214)
Sn (0.405, 0.405, 0.786)



Record 9
Computed, not measured: an optimized crystal structure of ThCd4Sn at the PBE level of DFT.

## Properties
N(E_F)	4.94	states/eV per cell
energy relative to the elements	0.00	eV per atom
spin magnetization	0.0	Bohr magnetons per cell

Cell: 5.976 5.976 5.976 Å, 60.00 60.00 60.00°
Element x y z (fractional)
Sn (0.250, 0.250, 0.250)
Th (0.000, 0.000, 0.000)
Cd (0.625, 0.625, 0.125)
Cd (0.625, 0.125, 0.625)
Cd (0.625, 0.625, 0.625)
Cd (0.125, 0.625, 0.625)



Record 10
Computed, not measured: an optimized crystal structure of ThCdSn3 at the PBE level of DFT.

## Properties
N(E_F)	9.68	states/eV per cell
energy relative to the elements	-0.28	eV per atom
spin magnetization	0.0	Bohr magnetons per cell

Cell: 6.402 6.347 13.444 Å, 90.00 90.00 90.00°
Element x y z (fractional)
Th (0.750, 0.505, 0.687)
Th (0.250, 0.495, 0.313)
Th (0.750, 0.005, 0.313)
Th (0.250, 0.995, 0.687)
Cd (0.500, 0.250, 0.112)
Cd (0.000, 0.750, 0.888)
Cd (0.500, 0.750, 0.888)
Cd (0.000, 0.250, 0.112)
Sn (0.000, 0.250, 0.499)
Sn (0.500, 0.750, 0.501)
Sn (0.000, 0.750, 0.501)
Sn (0.500, 0.250, 0.499)
Sn (0.250, 0.196, 0.920)
Sn (0.750, 0.804, 0.080)
Sn (0.250, 0.696, 0.080)
Sn (0.750, 0.304, 0.920)
Sn (0.250, 0.491, 0.731)
Sn (0.750, 0.509, 0.269)
Sn (0.250, 0.991, 0.269)
Sn (0.750, 0.009, 0.731)



Record 11
Computed, not measured: an optimized crystal structure of TmThCdSn at the PBE level of DFT.

## Properties
N(E_F)	4.18	states/eV per cell
energy relative to the elements	-0.33	eV per atom
spin magnetization	0.0	Bohr magnetons per cell

Cell: 5.363 5.363 5.363 Å, 60.00 60.00 60.00°
Element x y z (fractional)
Tm (0.500, 0.500, 0.500)
Sn (0.250, 0.250, 0.250)
Th (0.000, 0.000, 0.000)
Cd (0.750, 0.750, 0.750)



Record 12
Computed, not measured: an optimized crystal structure of YThCdSn at the PBE level of DFT.

## Properties
N(E_F)	4.05	states/eV per cell
energy relative to the elements	-0.36	eV per atom
spin magnetization	0.0	Bohr magnetons per cell

Cell: 5.394 5.394 5.394 Å, 60.00 60.00 60.00°
Element x y z (fractional)
Y (0.750, 0.750, 0.750)
Sn (0.500, 0.500, 0.500)
Th (0.250, 0.250, 0.250)
Cd (0.000, 0.000, 0.000)



> The lowest energy relative to the elements belongs to which entry?

Th2CdSn2



> Which of these has the lowest N(E_F)?

number 1